Below is AcLa2YHo5 after structural relaxation, with properties calculated at the PBE-GGA level.

Results
E in eV/atom: -4.562

a = 8.810 Å, b = 8.810 Å, c = 10.078 Å
α = 115.92°, β = 115.92°, γ = 90.00°
Fractional positions:
Ho 0.651 0.151 0.727
Ho 0.000 0.000 0.000
Ho 0.349 0.849 0.273
Y 0.250 0.750 0.500
Ac 0.750 0.750 0.500
Ho 0.500 0.500 0.000
Ho 0.849 0.924 0.273
Ho 0.151 0.076 0.727
Ac 0.250 0.250 0.500
La 0.383 0.883 0.000
La 0.117 0.383 0.000
La 0.883 0.617 0.000
Ho 0.576 0.651 0.727
Ho 0.076 0.576 0.727
Ho 0.424 0.349 0.273
La 0.617 0.117 0.000
Ho 0.924 0.424 0.273
Y 0.750 0.250 0.500

Below is HfTiCrAu2 after structural relaxation, with properties calculated at the PBE-GGA level.

Results
E in eV/atom: -6.089

a = 4.940 Å, b = 4.182 Å, c = 4.940 Å
α = 90.00°, β = 90.00°, γ = 90.00°
Fractional positions:
Cr 0.000 0.500 0.000
Au 0.000 0.000 0.500
Au 0.500 0.000 0.000
Ti 0.000 0.000 0.000
Hf 0.500 0.500 0.500

Below is HoCdCuPb after structural relaxation, with properties calculated at the PBE-GGA level.

Results
E in eV/atom: -3.416

a = 5.054 Å, b = 5.054 Å, c = 5.054 Å
α = 60.00°, β = 60.00°, γ = 60.00°
Fractional positions:
Ho 0.250 0.250 0.250
Cu 0.000 0.000 0.000
Cd 0.750 0.750 0.750
Pb 0.500 0.500 0.500

Below is Sm12Ni3H5 after structural relaxation, with properties calculated at the PBE-GGA level.

Results
E in eV/atom: -4.764

a = 13.233 Å, b = 13.233 Å, c = 13.233 Å
α = 109.47°, β = 109.47°, γ = 109.47°
Fractional positions:
Sm 0.619 0.027 0.217
Sm 0.381 0.409 0.098
H 0.250 0.875 0.125
Sm 0.527 0.217 0.119
Ni 0.750 0.875 0.625
H 0.250 0.375 0.625
Sm 0.311 0.527 0.409
Sm 0.402 0.119 0.591
Sm 0.402 0.283 0.311
Sm 0.811 0.909 0.027
H 0.125 0.375 0.250
Sm 0.598 0.717 0.689
Sm 0.598 0.881 0.409
Sm 0.283 0.881 0.973
H 0.000 0.000 0.500
Sm 0.783 0.473 0.381
Ni 0.625 0.375 0.750
Sm 0.902 0.811 0.783
Sm 0.881 0.598 0.909
H 0.875 0.625 0.750
Sm 0.527 0.311 0.909
Sm 0.027 0.619 0.717
H 0.875 0.250 0.625
Sm 0.902 0.091 0.619
Sm 0.027 0.409 0.811
Ni 0.625 0.250 0.375
Sm 0.689 0.473 0.591
H 0.625 0.875 0.250
Ni 0.375 0.750 0.625
Ni 0.375 0.625 0.250
H 0.500 0.500 0.000
Sm 0.119 0.402 0.091
Sm 0.717 0.598 0.189
Sm 0.311 0.783 0.402
H 0.500 0.000 0.500
Ni 0.750 0.375 0.125
Sm 0.689 0.217 0.598
Sm 0.217 0.527 0.619
Sm 0.091 0.902 0.119
Sm 0.409 0.027 0.311
Sm 0.881 0.283 0.473
Sm 0.189 0.098 0.717
H 0.000 0.000 0.000
H 0.500 0.000 0.000
Sm 0.189 0.091 0.973
Sm 0.909 0.098 0.881
Ni 0.125 0.875 0.750
H 0.750 0.625 0.375
Sm 0.098 0.909 0.381
Sm 0.811 0.902 0.283
Sm 0.283 0.402 0.811
Ni 0.250 0.625 0.875
Sm 0.591 0.973 0.689
Sm 0.473 0.689 0.091
Sm 0.973 0.381 0.283
Sm 0.091 0.189 0.473
H 0.000 0.500 0.000
Ni 0.875 0.125 0.250
Ni 0.875 0.750 0.125
Sm 0.217 0.689 0.098
Sm 0.409 0.381 0.598
Sm 0.381 0.973 0.783
H 0.375 0.250 0.125
Sm 0.473 0.783 0.881
Ni 0.125 0.250 0.875
Sm 0.591 0.619 0.402
Ni 0.250 0.125 0.375
Sm 0.098 0.189 0.217
H 0.375 0.125 0.750
H 0.000 0.500 0.500
Sm 0.973 0.591 0.189
H 0.125 0.750 0.375
Sm 0.717 0.119 0.027
Sm 0.119 0.717 0.527
H 0.625 0.750 0.875
Sm 0.909 0.811 0.527
H 0.750 0.125 0.875
Sm 0.619 0.591 0.902
Sm 0.783 0.311 0.902
H 0.500 0.500 0.500

Below is ZrMnNi2 after structural relaxation, with properties calculated at the PBE-GGA level.

Results
E in eV/atom: -7.478

a = 2.885 Å, b = 3.268 Å, c = 6.132 Å
α = 90.00°, β = 90.00°, γ = 90.00°
Fractional positions:
Mn 0.500 0.500 0.750
Ni 0.000 0.000 0.967
Zr 0.500 0.500 0.250
Ni 0.000 0.000 0.533

Below is Ta2GaNiAg after structural relaxation, with properties calculated at the PBE-GGA level.

Results
E in eV/atom: -5.963

a = 4.776 Å, b = 4.234 Å, c = 4.776 Å
α = 90.00°, β = 90.00°, γ = 90.00°
Fractional positions:
Ni 0.000 0.500 0.000
Ag 0.500 0.500 0.500
Ga 0.000 0.000 0.000
Ta 0.000 0.000 0.500
Ta 0.500 0.000 0.000

Below is PrMgZn2 after structural relaxation, with properties calculated at the PBE-GGA level.

Results
E in eV/atom: -2.423

a = 3.518 Å, b = 3.518 Å, c = 7.049 Å
α = 90.00°, β = 90.00°, γ = 90.00°
Fractional positions:
Pr 0.500 0.500 0.500
Zn 0.000 0.000 0.210
Zn 0.000 0.000 0.790
Mg 0.500 0.500 0.000

Below is TaRuRhO6 after structural relaxation, with properties calculated at the PBE-GGA level.

Results
Formation energy from raw total energies in meV/atom: -1576.8

a = 4.717 Å, b = 4.717 Å, c = 9.155 Å
α = 90.00°, β = 90.00°, γ = 90.00°
Fractional positions:
O 0.197 0.803 0.836
O 0.797 0.203 0.494
Ru 0.500 0.500 0.504
Rh 0.000 0.000 0.664
O 0.803 0.197 0.836
Ta 0.500 0.500 0.829
Ru 0.000 0.000 0.004
O 0.701 0.701 0.671
O 0.201 0.799 0.171
O 0.697 0.697 0.336
O 0.799 0.201 0.171
O 0.303 0.303 0.336
O 0.299 0.299 0.671
Rh 0.500 0.500 0.164
Ta 0.000 0.000 0.329
O 0.297 0.297 0.994
O 0.703 0.703 0.994
O 0.203 0.797 0.494

Below is CdMoC2 after structural relaxation, with properties calculated at the PBE-GGA level.

Results
E in eV/atom: -6.729

a = 5.062 Å, b = 5.062 Å, c = 5.944 Å
α = 64.80°, β = 64.80°, γ = 90.00°
Fractional positions:
Cd 0.000 0.000 0.000
Mo 0.250 0.750 0.500
C 0.875 0.812 0.750
Cd 0.750 0.250 0.500
Mo 0.500 0.500 0.000
C 0.562 0.125 0.250
C 0.375 0.438 0.750
C 0.188 0.625 0.250

Below is LiV2CuMo after structural relaxation, with properties calculated at the PBE-GGA level.

Results
E in eV/atom: -6.013

a = 4.211 Å, b = 3.775 Å, c = 4.211 Å
α = 90.00°, β = 90.00°, γ = 90.00°
Fractional positions:
Li 0.000 0.000 0.000
Mo 0.500 0.500 0.500
Cu 0.000 0.500 0.000
V 0.000 0.000 0.500
V 0.500 0.000 0.000

Below is BaWBr2 after structural relaxation, with properties calculated at the PBE-GGA level.

Results
Formation energy from raw total energies in meV/atom: 239.4

a = 8.256 Å, b = 8.256 Å, c = 8.256 Å
α = 153.18°, β = 148.39°, γ = 41.92°
Fractional positions:
Ba 0.692 0.192 0.500
W 0.508 0.508 0.000
Br 0.287 0.787 0.500
Br 0.012 0.012 0.000

Below is Tb2Dy5Ga4 after structural relaxation, with properties calculated at the PBE-GGA level.

Results
E in eV/atom: -4.067

a = 4.622 Å, b = 10.861 Å, c = 8.940 Å
α = 127.40°, β = 104.98°, γ = 90.00°
Fractional positions:
Ga 0.000 0.858 0.000
Dy 0.148 0.817 0.297
Tb 0.196 0.196 0.393
Ga 0.408 0.408 0.816
Dy 0.500 0.000 0.000
Dy 0.852 0.183 0.703
Ga 0.592 0.592 0.184
Dy 0.852 0.520 0.703
Tb 0.804 0.804 0.607
Dy 0.148 0.480 0.297
Ga 0.000 0.142 0.000

Below is LiMg2Al after structural relaxation, with properties calculated at the PBE-GGA level.

Results
E in eV/atom: -2.237

a = 9.981 Å, b = 9.981 Å, c = 9.981 Å
α = 17.73°, β = 17.73°, γ = 17.73°
Fractional positions:
Al 0.497 0.497 0.497
Mg 0.243 0.243 0.243
Li 0.756 0.756 0.756
Mg 0.003 0.003 0.003

Below is CoReTe2 after structural relaxation, with properties calculated at the PBE-GGA level.

Results
Formation energy from raw total energies in meV/atom: 408.2

a = 7.824 Å, b = 7.824 Å, c = 7.824 Å
α = 154.74°, β = 153.30°, γ = 37.08°
Fractional positions:
Co 0.440 0.440 0.000
Te 0.989 0.989 0.000
Te 0.239 0.739 0.500
Re 0.832 0.332 0.500

Below is Ba2As2I after structural relaxation, with properties calculated at the PBE-GGA level.

Results
Formation energy from raw total energies in meV/atom: -1193.2

a = 4.710 Å, b = 9.077 Å, c = 10.549 Å
α = 115.50°, β = 102.90°, γ = 90.00°
Fractional positions:
As 0.214 0.468 0.435
As 0.786 0.532 0.565
Ba 0.351 0.850 0.701
As 0.778 0.032 0.565
I 0.379 0.250 0.000
As 0.222 0.968 0.435
Ba 0.650 0.650 0.299
Ba 0.649 0.150 0.299
I 0.621 0.750 0.000
Ba 0.350 0.350 0.701

Below is Ce4GeIr after structural relaxation, with properties calculated at the PBE-GGA level.

Results
E in eV/atom: -6.622

a = 6.883 Å, b = 6.966 Å, c = 8.174 Å
α = 111.92°, β = 111.57°, γ = 97.20°
Fractional positions:
Ce 0.228 0.497 0.523
Ce 0.772 0.503 0.477
Ir 0.137 0.887 0.774
Ge 0.386 0.636 0.271
Ce 0.512 0.266 0.031
Ce 0.488 0.734 0.969
Ce 0.795 0.026 0.523
Ce 0.205 0.974 0.477
Ge 0.614 0.364 0.729
Ce 0.981 0.235 0.969
Ce 0.019 0.765 0.031
Ir 0.863 0.113 0.226

Below is Sc4CuSnRu2 after structural relaxation, with properties calculated at the PBE-GGA level.

Results
E in eV/atom: -6.999

a = 4.666 Å, b = 4.666 Å, c = 8.159 Å
α = 73.38°, β = 73.38°, γ = 60.00°
Fractional positions:
Sc 0.618 0.618 0.147
Sc 0.382 0.382 0.853
Sn 0.000 0.000 0.000
Ru 0.251 0.251 0.248
Sc 0.130 0.130 0.609
Ru 0.749 0.749 0.752
Cu 0.500 0.500 0.500
Sc 0.870 0.870 0.391

Below is BaNaCa2Zn after structural relaxation, with properties calculated at the PBE-GGA level.

Results
E in eV/atom: -1.661

a = 5.896 Å, b = 5.896 Å, c = 5.969 Å
α = 90.00°, β = 90.00°, γ = 90.00°
Fractional positions:
Zn 0.000 0.000 0.000
Ca 0.000 0.500 0.000
Na 0.000 0.000 0.500
Ba 0.500 0.500 0.500
Ca 0.500 0.000 0.000

Below is Li2AcSbS after structural relaxation, with properties calculated at the PBE-GGA level.

Results
Formation energy from raw total energies in meV/atom: -1204.7

a = 4.670 Å, b = 4.670 Å, c = 6.191 Å
α = 90.00°, β = 90.00°, γ = 90.00°
Fractional positions:
Li 0.500 0.000 0.932
S 0.000 0.000 0.028
Li 0.000 0.500 0.932
Sb 0.500 0.500 0.610
Ac 0.000 0.000 0.498

Below is KBi3Rh after structural relaxation, with properties calculated at the PBE-GGA level.

Results
E in eV/atom: -4.280

a = 4.445 Å, b = 8.897 Å, c = 8.997 Å
α = 112.09°, β = 90.00°, γ = 90.00°
Fractional positions:
Bi 0.250 0.211 0.734
K 0.750 0.275 0.094
Bi 0.250 0.101 0.322
K 0.250 0.725 0.906
Rh 0.250 0.889 0.480
Bi 0.750 0.445 0.596
Bi 0.250 0.555 0.404
Bi 0.750 0.789 0.266
Rh 0.750 0.111 0.520
Bi 0.750 0.899 0.678

no.,mass density (kg/m³)
1,7661
2,10942
3,9972
4,7393
5,7571
6,10284
7,5636
8,7841
9,6347
10,6655
11,6015
12,6942
13,1702
14,9061
15,4644
16,8510
17,6452
18,2448
19,4855
20,7745